Below is a relaxed structure of Ho8In3Co, with properties calculated at the PBE-GGA level.

Summary:
DOS at the Fermi energy ... 0.97 states/eV/atom
Excess energy over the best structure of this formula in the dataset ... 26.3 kJ/mol of atoms
Size of the total moment ... 0.00 Bohr magnetons per cell
ΔE_f ... -0.0824 eV/atom

The structure in POSCAR format:
```
Ho8In3Co
1.0
-6.501 -2.834 -0.570
1.097 -1.120 -6.940
5.398 -4.503 5.227
Ho In Co
8 3 1
direct
0.352 0.352 0.233
0.352 0.881 0.233
0.119 0.648 0.767
0.119 0.119 0.767
0.881 0.881 0.233
0.881 0.352 0.233
0.648 0.119 0.767
0.648 0.648 0.767
0.750 0.250 0.500
0.500 0.500 0.000
0.250 0.750 0.500
0.000 0.000 0.000
```

=====

Below is a relaxed structure of Ho12InCo5, with properties calculated at the PBE-GGA level.

Summary:
DOS at the Fermi energy ... 0.80 states/eV/atom
Size of the total moment ... 0.00 Bohr magnetons per cell
ΔE_f ... -0.2556 eV/atom

The structure in POSCAR format:
```
Ho12InCo5
1.0
7.700 -0.010 -2.922
-4.026 6.769 -2.409
0.010 0.010 8.236
Ho In Co
12 1 5
direct
0.522 0.814 0.708
0.478 0.186 0.292
0.894 0.186 0.708
0.106 0.814 0.292
0.695 0.686 0.381
0.305 0.314 0.619
0.305 0.686 0.990
0.695 0.314 0.010
0.808 0.598 0.790
0.192 0.402 0.210
0.192 0.983 0.790
0.808 0.017 0.210
0.000 0.500 0.500
0.622 0.622 0.000
0.378 0.378 0.000
0.500 0.113 0.613
0.500 0.887 0.387
0.000 0.000 0.000
```

=====

Below is a relaxed structure of Ho3InCo, with properties calculated at the PBE-GGA level.

Summary:
DOS at the Fermi energy ... 0.79 states/eV/atom
Excess energy over the best structure of this formula in the dataset ... 2.0 kJ/mol of atoms
Size of the total moment ... 0.00 Bohr magnetons per cell
ΔE_f ... -0.2545 eV/atom

The structure in POSCAR format:
```
Ho3InCo
1.0
5.122 0.000 1.430
2.149 5.644 2.192
0.246 0.147 9.006
Ho In Co
6 2 2
direct
0.892 0.998 0.218
0.108 0.002 0.782
0.619 0.675 0.086
0.381 0.325 0.914
0.845 0.648 0.662
0.155 0.352 0.338
0.393 0.767 0.447
0.607 0.233 0.553
0.136 0.669 0.058
0.864 0.331 0.942
```

=====

Below is a relaxed structure of Ho2InCo, with properties calculated at the PBE-GGA level.

Summary:
DOS at the Fermi energy ... 0.54 states/eV/atom
Excess energy over the best structure of this formula in the dataset ... 12.7 kJ/mol of atoms
Size of the total moment ... 0.64 Bohr magnetons per cell
ΔE_f ... -0.1954 eV/atom

The structure in POSCAR format:
```
Ho2InCo
1.0
-0.590 1.660 -3.213
-3.624 -3.271 -1.025
-3.333 3.013 2.168
Co Ho In
1 2 1
direct
0.500 0.500 0.500
0.000 0.000 0.500
0.000 0.500 0.000
0.500 0.000 0.000
```

=====

Below is a relaxed structure of Ho6InCo2, with properties calculated at the PBE-GGA level.

Summary:
DOS at the Fermi energy ... 0.79 states/eV/atom
Size of the total moment ... 0.00 Bohr magnetons per cell
ΔE_f ... -0.2797 eV/atom

The structure in POSCAR format:
```
Ho6InCo2
1.0
8.342 0.001 -0.006
-2.403 7.989 0.006
-2.860 -4.077 6.693
Ho In Co
12 2 4
direct
0.315 0.618 0.303
0.685 0.382 0.697
0.315 0.012 0.697
0.685 0.988 0.303
0.188 0.288 0.476
0.812 0.712 0.524
0.188 0.712 0.899
0.812 0.288 0.101
0.443 0.231 0.212
0.557 0.769 0.788
0.019 0.231 0.788
0.981 0.769 0.212
0.500 0.500 0.000
0.000 0.000 0.000
0.112 0.612 0.500
0.888 0.388 0.500
0.378 0.000 0.378
0.622 0.000 0.622
```

=====

Below is a relaxed structure of Ho4In2Co, with properties calculated at the PBE-GGA level.

Summary:
DOS at the Fermi energy ... 0.76 states/eV/atom
Excess energy over the best structure of this formula in the dataset ... 0.0 kJ/mol of atoms
Size of the total moment ... 0.00 Bohr magnetons per cell
ΔE_f ... -0.2138 eV/atom

The structure in POSCAR format:
```
Ho4In2Co
1.0
3.607 0.000 0.000
0.000 8.883 -1.419
0.000 -5.624 6.918
Ho In Co
4 2 1
direct
0.500 0.910 0.763
0.000 0.444 0.205
0.500 0.233 0.380
0.000 0.699 0.938
0.500 0.308 0.805
0.500 0.835 0.338
0.000 0.071 0.071
```

=====

Below is a relaxed structure of HoInCo2, with properties calculated at the PBE-GGA level.

Summary:
DOS at the Fermi energy ... 0.18 states/eV/atom
Size of the total moment ... 0.00 Bohr magnetons per cell
ΔE_f ... -0.0871 eV/atom

The structure in POSCAR format:
```
HoInCo2
1.0
3.390 0.000 0.000
0.000 4.404 0.000
0.000 0.000 4.404
Co Ho In
2 1 1
direct
0.000 0.000 0.500
0.000 0.500 0.000
0.500 0.500 0.500
0.500 0.000 0.000
```

=====

Below is a relaxed structure of HoIn2Co, with properties calculated at the PBE-GGA level.

Summary:
DOS at the Fermi energy ... 1.03 states/eV/atom
Size of the total moment ... 1.01 Bohr magnetons per cell
ΔE_f ... 0.0900 eV/atom

The structure in POSCAR format:
```
HoIn2Co
1.0
3.481 0.000 0.000
1.741 3.015 0.000
1.741 1.005 8.580
Co Ho In
1 1 2
direct
0.000 0.000 0.000
0.500 0.500 0.500
0.734 0.734 0.799
0.266 0.266 0.201
```

=====

Below is a relaxed structure of Ho2In8Co, with properties calculated at the PBE-GGA level.

Summary:
DOS at the Fermi energy ... 0.52 states/eV/atom
Size of the total moment ... 0.00 Bohr magnetons per cell
ΔE_f ... -0.2886 eV/atom

The structure in POSCAR format:
```
Ho2In8Co
1.0
-1.153 -0.106 -4.438
-4.218 -1.404 1.130
-3.666 11.561 0.678
Ho In Co
2 8 1
direct
0.000 0.000 0.693
0.000 0.000 0.307
0.500 0.000 0.881
0.000 0.500 0.881
0.500 0.000 0.119
0.000 0.500 0.119
0.500 0.000 0.500
0.000 0.500 0.500
0.500 0.500 0.692
0.500 0.500 0.308
0.000 0.000 0.000
```

=====

Below is a relaxed structure of Ho4InCo, with properties calculated at the PBE-GGA level.

Summary:
DOS at the Fermi energy ... 0.70 states/eV/atom
Excess energy over the best structure of this formula in the dataset ... 0.0 kJ/mol of atoms
Size of the total moment ... 0.00 Bohr magnetons per cell
ΔE_f ... -0.3149 eV/atom

The structure in POSCAR format:
```
Ho4InCo
1.0
8.223 0.000 4.747
2.741 7.752 4.747
0.000 0.000 9.495
Ho In Co
16 4 4
direct
0.403 0.403 0.403
0.790 0.403 0.403
0.403 0.790 0.403
0.403 0.403 0.790
0.561 0.561 0.939
0.939 0.939 0.561
0.561 0.939 0.561
0.939 0.561 0.939
0.939 0.561 0.561
0.561 0.939 0.939
0.190 0.190 0.810
0.810 0.810 0.190
0.190 0.810 0.190
0.810 0.190 0.810
0.810 0.190 0.190
0.190 0.810 0.810
0.167 0.167 0.167
0.498 0.167 0.167
0.167 0.498 0.167
0.167 0.167 0.498
0.610 0.610 0.610
0.171 0.610 0.610
0.610 0.171 0.610
0.610 0.610 0.171
```

=====

Below is a relaxed structure of HoInCo, with properties calculated at the PBE-GGA level.

Summary:
DOS at the Fermi energy ... 0.75 states/eV/atom
Size of the total moment ... 0.48 Bohr magnetons per cell
ΔE_f ... -0.1679 eV/atom

The structure in POSCAR format:
```
HoInCo
1.0
-0.437 1.874 2.643
0.066 -2.661 1.898
5.728 0.919 -1.727
Co Ho In
1 1 1
direct
0.672 0.672 0.344
0.023 0.023 0.045
0.305 0.305 0.611
```

=====

Below is a relaxed structure of Ho6InCo, with properties calculated at the PBE-GGA level.

Summary:
DOS at the Fermi energy ... 1.33 states/eV/atom
Size of the total moment ... 0.00 Bohr magnetons per cell
ΔE_f ... -0.0384 eV/atom

The structure in POSCAR format:
```
Ho6InCo
1.0
6.283 0.536 -0.043
-1.840 6.031 -0.043
-0.870 -1.286 6.000
Ho In Co
6 1 1
direct
0.216 0.216 0.615
0.579 0.205 0.213
0.784 0.784 0.385
0.795 0.421 0.787
0.421 0.795 0.787
0.205 0.579 0.213
0.000 0.000 0.000
0.500 0.500 0.500
```

=====

Number 10 is which compound? Ho4InCo

=====

Which formula does entry 1 have? Ho8In3Co

=====

DOS at the Fermi energy of number 9 (Ho2In8Co)? 0.52 states/eV/atom

=====

Please write out number 8 again, unchanged.
Below is a relaxed structure of HoIn2Co, with properties calculated at the PBE-GGA level.

Summary:
DOS at the Fermi energy ... 1.03 states/eV/atom
Size of the total moment ... 1.01 Bohr magnetons per cell
ΔE_f ... 0.0900 eV/atom

The structure in POSCAR format:
```
HoIn2Co
1.0
3.481 0.000 0.000
1.741 3.015 0.000
1.741 1.005 8.580
Co Ho In
1 1 2
direct
0.000 0.000 0.000
0.500 0.500 0.500
0.734 0.734 0.799
0.266 0.266 0.201
```